[1]
Compound: FeAg2GeS4
Source: the Open Quantum Materials Database
Functional: GGA-PBE
Structure: relaxed

Distance to the lowest polymorph of the same formula   0 meV/atom

Cell: 5.721 5.721 10.595 Å, 90.00 90.00 90.00°
Space group I-4 (No. 82)
Asymmetric unit:
Fe 0.000 0.000 0.000 (multiplicity 2)
Ag 0.000 0.000 0.500 (multiplicity 2)
Ag 0.000 0.500 0.250 (multiplicity 2)
Ge 0.000 0.500 0.750 (multiplicity 2)
S 0.209 0.749 0.875 (multiplicity 8)

[2]
Compound: ScFeAgGe
Source: the Open Quantum Materials Database
Functional: GGA-PBE
Structure: relaxed

Distance to the lowest polymorph of the same formula   78 meV/atom

Cell: 6.359 6.359 6.359 Å, 90.00 90.00 90.00°
Space group F-43m (No. 216)
Asymmetric unit:
Sc 0.000 0.000 0.000 (multiplicity 4)
Fe 0.250 0.250 0.750 (multiplicity 4)
Ag 0.250 0.250 0.250 (multiplicity 4)
Ge 0.000 0.000 0.500 (multiplicity 4)

[3]
Compound: ScFeAgGe
Source: the Open Quantum Materials Database
Functional: GGA-PBE
Structure: relaxed

Distance to the lowest polymorph of the same formula   0 meV/atom

Cell: 6.433 6.433 6.433 Å, 90.00 90.00 90.00°
Space group F-43m (No. 216)
Asymmetric unit:
Sc 0.000 0.000 0.000 (multiplicity 4)
Fe 0.000 0.000 0.500 (multiplicity 4)
Ag 0.250 0.250 0.750 (multiplicity 4)
Ge 0.250 0.250 0.250 (multiplicity 4)

[4]
Compound: FeAgGeSe3
Source: the Open Quantum Materials Database
Functional: GGA-PBE
Structure: relaxed

VASP energy   -107.9 eV/cell

Cell: 3.518 15.147 9.678 Å, 90.00 90.00 90.00°
Space group Cmcm (No. 63)
Asymmetric unit:
Fe 0.000 0.000 0.000 (multiplicity 4)
Ag 0.000 0.296 0.250 (multiplicity 4)
Ge 0.000 0.342 0.750 (multiplicity 4)
Se 0.000 0.036 0.250 (multiplicity 4)
Se 0.000 0.390 0.021 (multiplicity 8)

Quick rundown of density, same order as above: 4.53; 7.27; 7.02; 6.10 g/cm³
Quick rundown of spin magnetization, same order as above: 4.0; 1.7; 2.5; 1.7 μB/f.u.